(1)
! Er4Mg3Cu, optimized geometry, DFT PBE; values from VASP
&SYSTEM
  ibrav = 0, nat = 8, ntyp = 3
/
ATOMIC_SPECIES
Er 167.26 Er.upf
Mg 24.30 Mg.upf
Cu 63.55 Cu.upf
CELL_PARAMETERS angstrom
3.581 0.000 0.000
0.000 3.581 0.000
0.000 0.000 15.608
ATOMIC_POSITIONS crystal
Er 0.000 0.000 0.105
Er 0.000 0.000 0.369
Er 0.000 0.000 0.631
Er 0.000 0.000 0.895
Mg 0.500 0.500 0.239
Mg 0.500 0.500 0.500
Mg 0.500 0.500 0.761
Cu 0.500 0.500 0.000
! Crystal system: tetragonal
! N(E_F), states/eV per cell: 8.49
! Calculated total energy, eV/cell: -27.9
! Space-group type: P4/mmm

***

(2)
! MgMoPt, optimized geometry, DFT PBE; values from VASP
&SYSTEM
  ibrav = 0, nat = 6, ntyp = 3
/
ATOMIC_SPECIES
Mg 24.30 Mg.upf
Mo 95.94 Mo.upf
Pt 195.08 Pt.upf
CELL_PARAMETERS angstrom
3.103 0.000 0.000
-0.001 4.350 0.000
-1.549 -0.718 7.250
ATOMIC_POSITIONS crystal
Mg 0.170 0.086 0.340
Mg 0.830 0.914 0.660
Mo 0.000 0.500 0.000
Mo 0.500 0.000 0.000
Pt 0.343 0.421 0.686
Pt 0.657 0.579 0.314
! Crystal system: triclinic
! N(E_F), states/eV per cell: 3.56
! Calculated total energy, eV/cell: -38.4
! E above lowest polymorph, eV/f.u.: 0.31
! Space-group type: P-1

***

(3)
! NdDy2YEr, optimized geometry, DFT PBE; values from VASP
&SYSTEM
  ibrav = 0, nat = 10, ntyp = 4
/
ATOMIC_SPECIES
Nd 144.24 Nd.upf
Dy 162.50 Dy.upf
Y 88.91 Y.upf
Er 167.26 Er.upf
CELL_PARAMETERS angstrom
4.201 -5.743 0.000
4.201 5.743 0.000
0.000 0.000 7.220
ATOMIC_POSITIONS crystal
Nd 0.226 0.774 0.750
Nd 0.774 0.226 0.250
Dy 0.189 0.189 0.000
Dy 0.189 0.189 0.500
Dy 0.811 0.811 0.000
Dy 0.811 0.811 0.500
Y 0.498 0.502 0.750
Y 0.502 0.498 0.250
Er 0.223 0.777 0.250
Er 0.777 0.223 0.750
! Crystal system: orthorhombic
! N(E_F), states/eV per cell: 14.68
! Calculated total energy, eV/cell: -46.0
! Space-group type: Cmcm

***

(4)
! Sr2ZrSc, optimized geometry, DFT PBE; values from VASP
&SYSTEM
  ibrav = 0, nat = 4, ntyp = 3
/
ATOMIC_SPECIES
Sr 87.62 Sr.upf
Zr 91.22 Zr.upf
Sc 44.96 Sc.upf
CELL_PARAMETERS angstrom
-2.487 2.487 5.510
2.487 -2.487 5.510
2.487 2.487 -5.510
ATOMIC_POSITIONS crystal
Sr 0.250 0.750 0.500
Sr 0.750 0.250 0.500
Zr 0.000 0.000 0.000
Sc 0.500 0.500 0.000
! Crystal system: tetragonal
! N(E_F), states/eV per cell: 5.86
! Calculated total energy, eV/cell: -16.0
! E above lowest polymorph, eV/f.u.: 1.13
! Space-group type: I4/mmm

***

(5)
! Zr2MoW, optimized geometry, DFT PBE; values from VASP
&SYSTEM
  ibrav = 0, nat = 4, ntyp = 3
/
ATOMIC_SPECIES
Zr 91.22 Zr.upf
Mo 95.94 Mo.upf
W 183.84 W.upf
CELL_PARAMETERS angstrom
3.035 0.000 0.000
0.000 4.526 0.000
-1.235 0.000 5.519
ATOMIC_POSITIONS crystal
Zr 0.000 0.000 0.000
Zr 0.296 0.500 0.725
Mo 0.765 0.500 0.256
W 0.561 0.000 0.468
! Crystal system: monoclinic
! N(E_F), states/eV per cell: 4.74
! Calculated total energy, eV/cell: -40.4
! E above lowest polymorph, eV/f.u.: 0.33
! Space-group type: Pm

***

(6)
! Pu5Pd3Pb, optimized geometry, DFT PBE; values from VASP
&SYSTEM
  ibrav = 0, nat = 18, ntyp = 3
/
ATOMIC_SPECIES
Pu 244.00 Pu.upf
Pd 106.42 Pd.upf
Pb 207.20 Pb.upf
CELL_PARAMETERS angstrom
5.840 -3.926 0.000
5.840 3.926 0.000
-1.925 0.000 9.804
ATOMIC_POSITIONS crystal
Pu 0.006 0.006 0.633
Pu 0.090 0.602 0.324
Pu 0.175 0.825 0.000
Pu 0.246 0.246 0.950
Pu 0.398 0.910 0.676
Pu 0.602 0.090 0.324
Pu 0.754 0.754 0.050
Pu 0.825 0.175 0.000
Pu 0.910 0.398 0.676
Pu 0.994 0.994 0.367
Pd 0.177 0.177 0.207
Pd 0.245 0.245 0.485
Pd 0.500 0.500 0.000
Pd 0.500 0.500 0.500
Pd 0.755 0.755 0.515
Pd 0.823 0.823 0.793
Pb 0.409 0.409 0.726
Pb 0.591 0.591 0.274
! Crystal system: monoclinic
! N(E_F), states/eV per cell: 78.62
! Calculated total energy, eV/cell: -181.3
! Space-group type: C2/m

***

(7)
! Pr3Nd3Tl5, optimized geometry, DFT PBE; values from VASP
&SYSTEM
  ibrav = 0, nat = 11, ntyp = 3
/
ATOMIC_SPECIES
Pr 140.91 Pr.upf
Nd 144.24 Nd.upf
Tl 204.38 Tl.upf
CELL_PARAMETERS angstrom
9.265 0.000 0.000
-4.632 8.023 0.000
0.000 0.000 6.295
ATOMIC_POSITIONS crystal
Pr 0.000 0.752 0.000
Pr 0.248 0.248 0.000
Pr 0.752 0.000 0.000
Nd 0.000 0.759 0.500
Nd 0.241 0.241 0.500
Nd 0.759 0.000 0.500
Tl 0.000 0.386 0.500
Tl 0.333 0.667 0.500
Tl 0.386 0.000 0.500
Tl 0.614 0.614 0.500
Tl 0.667 0.333 0.500
! Crystal system: hexagonal
! N(E_F), states/eV per cell: 10.64
! Calculated total energy, eV/cell: -35.9
! Space-group type: P-62m